Record 1
Sc5AlCu4 (PBE, optimized geometry); space-group type = P4/mmm (123)
1.0
-3.1806 -0.0686 -0.6654
-0.0303 -3.2149 0.4765
-3.4540 2.4426 16.2588
Sc Al Cu
5 1 4
Direct
0.5000 0.5000 0.1100
0.5000 0.5000 0.3042
0.5000 0.5000 0.5000
0.5000 0.5000 0.6958
0.5000 0.5000 0.8900
0.0000 0.0000 0.0000
0.0000 0.0000 0.2052
0.0000 0.0000 0.4036
0.0000 0.0000 0.5964
0.0000 0.0000 0.7948

***

Record 2
Sc2Al3Cu2 (PBE, optimized geometry); space-group type = Cmcm (63)
1.0
-2.2409 -1.2737 3.3372
-2.5830 -4.1022 -3.3001
8.0377 -5.5544 0.6132
Sc Al Cu
4 6 4
Direct
0.1554 0.2500 0.3108
0.8446 0.7500 0.6892
0.9867 0.2500 0.9734
0.0133 0.7500 0.0266
0.1749 0.7500 0.3499
0.8251 0.2500 0.6501
0.5803 0.4956 0.1607
0.4197 0.5044 0.8393
0.4197 0.9956 0.8393
0.5803 0.0044 0.1607
0.7141 0.9927 0.4282
0.2859 0.0073 0.5718
0.2859 0.4927 0.5718
0.7141 0.5073 0.4282

***

Record 3
Sc2Al9Cu (PBE, optimized geometry); space-group type = P4/mmm (123)
1.0
-2.0474 -3.5093 -0.1213
2.8818 -1.5991 -2.3791
5.9675 -3.8202 9.7964
Sc Al Cu
2 9 1
Direct
0.0000 0.0000 0.3287
0.0000 0.0000 0.6713
0.5000 0.5000 0.0000
0.5000 0.5000 0.3286
0.5000 0.5000 0.6714
0.5000 0.0000 0.1534
0.5000 0.0000 0.5000
0.5000 0.0000 0.8466
0.0000 0.5000 0.1534
0.0000 0.5000 0.5000
0.0000 0.5000 0.8466
0.0000 0.0000 0.0000

***

Record 4
ScAlCu (PBE, optimized geometry); space-group type = P3m1 (156)
1.0
3.2242 0.0000 0.0000
-1.6121 2.7923 0.0000
0.0000 0.0000 6.0943
Sc Al Cu
1 1 1
Direct
0.6667 0.3333 0.6492
0.0000 0.0000 0.0339
0.3333 0.6667 0.3170

***

Record 5
ScAl3Cu2 (PBE, optimized geometry); space-group type = C2/m (12)
1.0
3.9405 0.0000 0.0000
-1.9702 7.6682 -2.3925
0.0000 0.0670 9.6669
Sc Al Cu
3 9 6
Direct
0.1567 0.3134 0.6983
0.8433 0.6866 0.3017
0.0000 0.0000 0.0000
0.0432 0.0863 0.3420
0.9568 0.9137 0.6580
0.2166 0.4333 0.3901
0.7834 0.5667 0.6099
0.6214 0.2427 0.1946
0.3786 0.7573 0.8054
0.5000 0.0000 0.5000
0.3255 0.6511 0.0393
0.6745 0.3489 0.9607
0.1981 0.3961 0.1285
0.8019 0.6039 0.8715
0.4685 0.9370 0.2184
0.5315 0.0630 0.7816
0.3616 0.7232 0.5423
0.6384 0.2768 0.4577

***

Record 6
ScAl2Cu (PBE, optimized geometry); space-group type = P4mm (99)
1.0
-2.9200 -0.1908 -1.2139
1.0320 -2.0796 -2.1556
-1.3984 -4.9946 4.1488
Sc Al Cu
1 2 1
Direct
0.5000 0.5000 0.7375
0.0000 0.0000 0.0288
0.5000 0.5000 0.2764
0.0000 0.0000 0.4574

***

Record 7
ScAl2Cu (PBE, optimized geometry); space-group type = Pm (6)
1.0
-2.3947 -1.4620 3.0914
0.7064 -2.8523 -0.8017
4.5225 -1.3056 2.8859
Sc Al Cu
1 2 1
Direct
0.5000 0.7039 0.7193
0.0000 0.0462 0.0344
0.5000 0.4393 0.2450
0.0000 0.3107 0.5013

***

Record 8
ScAl2Cu (PBE, optimized geometry); space-group type = Cm (8)
1.0
-3.6554 -2.1375 2.3769
-1.0602 -2.3108 4.1372
-1.7194 3.5330 2.8827
Sc Al Cu
1 2 1
Direct
0.2420 0.2420 0.2660
0.0089 0.0089 0.9604
0.7593 0.7593 0.7503
0.4897 0.4897 0.5234

***

Record 9
ScAl2Cu5 (PBE, optimized geometry); space-group type = Immm (71)
1.0
2.9552 0.0000 0.0000
1.4776 6.3417 0.2929
1.4776 1.4530 6.1799
Sc Al Cu
1 2 5
Direct
0.0000 0.0000 0.0000
0.7516 0.7484 0.7484
0.2484 0.2516 0.2516
0.0000 0.5000 0.5000
0.6294 0.5930 0.1483
0.3706 0.4070 0.8517
0.3706 0.8517 0.4070
0.6294 0.1483 0.5930

***

Record 10
ScAl2Cu (PBE, optimized geometry); space-group type = I4/mmm (139)
1.0
-5.0285 0.3110 0.9701
-1.9084 -4.3052 2.0364
4.0310 2.9781 1.0980
Sc Al Cu
1 2 1
Direct
0.7500 0.2500 0.5000
0.0000 0.0000 0.0000
0.5000 0.5000 0.0000
0.2500 0.7500 0.5000

***

Record 11
ScAl2Cu (PBE, optimized geometry); space-group type = I-4m2 (119)
1.0
4.8354 -0.0277 0.0022
1.3075 4.6554 -0.0022
-3.0722 -2.3129 2.9316
Sc Al Cu
1 2 1
Direct
0.2500 0.7500 0.5000
0.0000 0.0000 0.0000
0.7498 0.2498 0.5000
0.5002 0.5002 0.0000

***

Record 12
ScAlCu (PBE, optimized geometry); space-group type = F-43m (216)
1.0
-1.9227 2.0980 3.4416
0.3270 -1.7002 4.1165
2.5268 2.0411 3.0646
Sc Al Cu
1 1 1
Direct
0.7500 0.7500 0.7500
0.0000 0.0000 0.0000
0.5000 0.5000 0.5000

***

Number 1: energy of formation -319 meV per atom. Number 2: energy of formation -330 meV per atom. Number 3: energy of formation -291 meV per atom. Number 4: energy of formation -41 meV per atom. Number 5: energy of formation -320 meV per atom. Number 6: energy of formation -252 meV per atom. Number 7: energy of formation -246 meV per atom. Number 8: energy of formation -203 meV per atom. Number 9: energy of formation -176 meV per atom. Number 10: energy of formation -148 meV per atom. Number 11: energy of formation -266 meV per atom. Number 12: energy of formation 374 meV per atom.